(1)
Entry from Alexandria: a relaxed structure of TaZnTe (PBE-GGA).

Properties
uncorrected formation energy	41.02	kJ/mol of atoms
SG	No. 187
spin magnetization	0.0000	μB per atom
uncorrected energy	-4.998	eV per atom

Unit cell a=4.883 b=4.883 c=2.921 alpha=90.00 beta=90.00 gamma=120.00
Positions (direct):
Ta  0.000  0.000  0.000
Zn  0.667  0.333  0.500
Te  0.333  0.667  0.000

***

(2)
Entry from Alexandria: a relaxed structure of Th3PdRh2 (PBE-GGA).

Properties
SG	No. 12
spin magnetization	0.0000	μB per atom
uncorrected energy	-7.882	eV per atom

Unit cell a=7.191 b=7.191 c=4.129 alpha=106.61 beta=106.61 gamma=48.01
Positions (direct):
Th  0.000  0.000  0.000
Th  0.326  0.326  0.326
Th  0.674  0.674  0.674
Pd  0.500  0.500  0.000
Rh  0.164  0.164  0.664
Rh  0.836  0.836  0.336

***

(3)
Entry from Alexandria: a relaxed structure of HoPuPa2P4 (PBE-GGA).

Properties
SG	No. 10
spin magnetization	0.6956	μB per atom
uncorrected energy	-8.804	eV per atom

Unit cell a=6.872 b=3.983 c=6.898 alpha=90.00 beta=109.56 gamma=90.00
Positions (direct):
Ho  0.000  0.000  0.000
Pu  0.000  0.500  0.500
Pa  0.500  0.000  0.500
Pa  0.500  0.500  0.000
P  0.252  0.000  0.751
P  0.253  0.500  0.250
P  0.747  0.500  0.750
P  0.748  0.000  0.249

***

(4)
Entry from Alexandria: a relaxed structure of LiSm5Tm4 (PBE-GGA).

Properties
SG	No. 123
spin magnetization	0.0000	μB per atom
uncorrected energy	-4.298	eV per atom

Unit cell a=3.582 b=3.582 c=24.094 alpha=90.00 beta=90.00 gamma=90.00
Positions (direct):
Li  0.000  0.000  0.000
Sm  0.500  0.500  0.088
Sm  0.500  0.500  0.294
Sm  0.500  0.500  0.500
Sm  0.500  0.500  0.706
Sm  0.500  0.500  0.912
Tm  0.000  0.000  0.190
Tm  0.000  0.000  0.397
Tm  0.000  0.000  0.603
Tm  0.000  0.000  0.810

***

(5)
Entry from Alexandria: a relaxed structure of CdReSe2 (PBE-GGA).

Properties
uncorrected formation energy	22.90	kJ/mol of atoms
SG	No. 10
spin magnetization	0.0000	μB per atom
uncorrected energy	-4.846	eV per atom

Unit cell a=2.765 b=3.214 c=10.150 alpha=90.00 beta=90.38 gamma=90.00
Positions (direct):
Cd  0.000  0.000  0.000
Re  0.000  0.000  0.500
Se  0.004  0.500  0.691
Se  0.996  0.500  0.309

***

(6)
Entry from Alexandria: a relaxed structure of Tb2Pm2Dy (PBE-GGA).

Properties
SG	No. 15
spin magnetization	0.0000	μB per atom
uncorrected energy	-4.652	eV per atom

Unit cell a=8.549 b=8.549 c=6.816 alpha=103.08 beta=103.08 gamma=43.42
Positions (direct):
Tb  0.015  0.182  0.451
Tb  0.182  0.015  0.951
Tb  0.818  0.985  0.049
Tb  0.985  0.818  0.549
Pm  0.216  0.386  0.849
Pm  0.386  0.216  0.349
Pm  0.614  0.784  0.651
Pm  0.784  0.614  0.151
Dy  0.417  0.583  0.250
Dy  0.583  0.417  0.750

***

(7)
Entry from Alexandria: a relaxed structure of Li4Np3GeN8 (PBE-GGA).

Properties
uncorrected formation energy	-62.56	kJ/mol of atoms
SG	No. 166
spin magnetization	0.1869	μB per atom
uncorrected energy	-8.005	eV per atom

Unit cell a=6.369 b=6.369 c=6.369 alpha=64.75 beta=64.75 gamma=64.75
Positions (direct):
Li  0.000  0.000  0.000
Li  0.000  0.500  0.500
Li  0.500  0.000  0.500
Li  0.500  0.500  0.000
Np  0.000  0.000  0.500
Np  0.000  0.500  0.000
Np  0.500  0.000  0.000
Ge  0.500  0.500  0.500
N  0.204  0.751  0.751
N  0.239  0.239  0.239
N  0.249  0.249  0.796
N  0.249  0.796  0.249
N  0.751  0.204  0.751
N  0.751  0.751  0.204
N  0.761  0.761  0.761
N  0.796  0.249  0.249

***

(8)
Entry from Alexandria: a relaxed structure of NdThPd (PBE-GGA).

Properties
SG	No. 156
spin magnetization	0.0000	μB per atom
uncorrected energy	-6.048	eV per atom

Unit cell a=4.906 b=4.906 c=3.855 alpha=90.00 beta=90.00 gamma=120.00
Positions (direct):
Nd  0.000  0.000  0.000
Th  0.333  0.667  0.584
Pd  0.667  0.333  0.332

***

(9)
Entry from Alexandria: a relaxed structure of KNaTl2In (PBE-GGA).

Properties
SG	No. 123
spin magnetization	0.0000	μB per atom
uncorrected energy	-1.897	eV per atom

Unit cell a=5.985 b=5.985 c=5.898 alpha=90.00 beta=90.00 gamma=90.00
Positions (direct):
K  0.000  0.000  0.000
Na  0.500  0.500  0.000
Tl  0.000  0.500  0.500
Tl  0.500  0.000  0.500
In  0.500  0.500  0.500

***

(10)
Entry from Alexandria: a relaxed structure of Zr2CoHg (PBE-GGA).

Properties
SG	No. 166
spin magnetization	0.0000	μB per atom
uncorrected energy	-6.236	eV per atom

Unit cell a=8.035 b=8.035 c=8.035 alpha=25.22 beta=25.22 gamma=25.22
Positions (direct):
Zr  0.232  0.232  0.232
Zr  0.768  0.768  0.768
Co  0.500  0.500  0.500
Hg  0.000  0.000  0.000

***

(11)
Entry from Alexandria: a relaxed structure of PmNd8Sm3 (PBE-GGA).

Properties
SG	No. 121
spin magnetization	0.0001	μB per atom
uncorrected energy	-4.202	eV per atom

Unit cell a=8.543 b=8.543 c=8.543 alpha=117.60 beta=117.60 gamma=94.21
Positions (direct):
Pm  0.000  0.000  0.000
Nd  0.127  0.127  0.753
Nd  0.249  0.749  0.000
Nd  0.251  0.251  0.501
Nd  0.374  0.374  0.247
Nd  0.626  0.873  0.000
Nd  0.749  0.249  0.000
Nd  0.751  0.751  0.499
Nd  0.873  0.626  0.000
Sm  0.250  0.750  0.500
Sm  0.500  0.500  0.000
Sm  0.750  0.250  0.500

***

(12)
Entry from Alexandria: a relaxed structure of Ce2HoGa4 (PBE-GGA).

Properties
SG	No. 71
spin magnetization	0.3351	μB per atom
uncorrected energy	-4.608	eV per atom

Unit cell a=9.855 b=9.855 c=9.855 alpha=155.64 beta=155.43 gamma=34.87
Positions (direct):
Ce  0.189  0.189  0.000
Ce  0.811  0.811  0.000
Ho  0.000  0.500  0.500
Ga  0.361  0.361  0.000
Ga  0.435  0.935  0.500
Ga  0.565  0.065  0.500
Ga  0.639  0.639  0.000

***

(13)
Entry from Alexandria: a relaxed structure of RbCd (PBE-GGA).

Properties
SG	No. 70
spin magnetization	0.0000	μB per atom
uncorrected energy	-0.907	eV per atom

Unit cell a=9.473 b=8.677 c=7.531 alpha=71.13 beta=60.08 gamma=48.79
Positions (direct):
Rb  0.076  0.674  0.076
Rb  0.326  0.924  0.326
Rb  0.674  0.076  0.674
Rb  0.924  0.326  0.924
Cd  0.216  0.534  0.534
Cd  0.466  0.784  0.784
Cd  0.534  0.216  0.216
Cd  0.784  0.466  0.466

***

(14)
Entry from Alexandria: a relaxed structure of Be2CoH (PBE-GGA).

Properties
SG	No. 166
spin magnetization	0.0809	μB per atom
uncorrected energy	-4.358	eV per atom

Unit cell a=6.423 b=6.423 c=6.423 alpha=22.32 beta=22.32 gamma=22.32
Positions (direct):
Be  0.077  0.077  0.077
Be  0.923  0.923  0.923
Co  0.500  0.500  0.500
H  0.000  0.000  0.000

***

(15)
Entry from Alexandria: a relaxed structure of Ce3SmDy2P6 (PBE-GGA).

Properties
SG	No. 12
spin magnetization	0.1227	μB per atom
uncorrected energy	-6.902	eV per atom

Unit cell a=7.041 b=7.041 c=7.029 alpha=99.61 beta=99.61 gamma=120.01
Positions (direct):
Ce  0.000  0.000  0.000
Ce  0.334  0.666  0.000
Ce  0.666  0.334  0.000
Sm  0.500  0.500  0.500
Dy  0.167  0.833  0.500
Dy  0.833  0.167  0.500
P  0.080  0.417  0.251
P  0.246  0.246  0.749
P  0.417  0.080  0.251
P  0.583  0.920  0.749
P  0.754  0.754  0.251
P  0.920  0.583  0.749

***

(16)
Entry from Alexandria: a relaxed structure of Cs2Hg2IrO6 (PBE-GGA).

Properties
uncorrected formation energy	-71.62	kJ/mol of atoms
SG	No. 12
spin magnetization	0.0000	μB per atom
uncorrected energy	-4.462	eV per atom

Unit cell a=6.010 b=6.010 c=7.069 alpha=100.32 beta=100.32 gamma=117.10
Positions (direct):
Cs  0.176  0.824  0.000
Cs  0.824  0.176  0.000
Hg  0.336  0.664  0.500
Hg  0.664  0.336  0.500
Ir  0.000  0.000  0.500
O  0.049  0.322  0.667
O  0.207  0.207  0.347
O  0.322  0.049  0.667
O  0.678  0.951  0.333
O  0.793  0.793  0.653
O  0.951  0.678  0.333

***

(17)
Entry from Alexandria: a relaxed structure of BaTlTe (PBE-GGA).

Properties
uncorrected formation energy	-78.20	kJ/mol of atoms
SG	No. 187
spin magnetization	0.0000	μB per atom
uncorrected energy	-3.287	eV per atom

Unit cell a=5.465 b=5.465 c=4.465 alpha=90.00 beta=90.00 gamma=120.00
Positions (direct):
Ba  0.000  0.000  0.000
Tl  0.333  0.667  0.500
Te  0.667  0.333  0.500

***

(18)
Entry from Alexandria: a relaxed structure of SrSnHg3 (PBE-GGA).

Properties
SG	No. 31
spin magnetization	0.0000	μB per atom
uncorrected energy	-1.598	eV per atom

Unit cell a=6.499 b=6.161 c=7.352 alpha=90.00 beta=90.00 gamma=90.00
Positions (direct):
Sr  0.000  0.183  0.000
Sr  0.500  0.817  0.500
Sn  0.000  0.687  0.741
Sn  0.500  0.313  0.241
Hg  0.000  0.950  0.398
Hg  0.247  0.681  0.097
Hg  0.253  0.319  0.597
Hg  0.500  0.050  0.898
Hg  0.747  0.319  0.597
Hg  0.753  0.681  0.097

***

(19)
Entry from Alexandria: a relaxed structure of ErMoW (PBE-GGA).

Properties
SG	No. 69
spin magnetization	0.0000	μB per atom
uncorrected energy	-9.016	eV per atom

Unit cell a=6.633 b=5.821 c=5.142 alpha=74.17 beta=57.60 gamma=48.23
Positions (direct):
Er  0.178  0.822  0.178
Er  0.822  0.178  0.822
Mo  0.326  0.326  0.674
Mo  0.674  0.674  0.326
W  0.250  0.250  0.250
W  0.750  0.750  0.750

***

(20)
Entry from Alexandria: a relaxed structure of LuPuCu2 (PBE-GGA).

Properties
SG	No. 225
spin magnetization	1.4044	μB per atom
uncorrected energy	-6.811	eV per atom

Unit cell a=4.867 b=4.867 c=4.867 alpha=60.00 beta=60.00 gamma=60.00
Positions (direct):
Lu  0.000  0.000  0.000
Pu  0.500  0.500  0.500
Cu  0.250  0.250  0.250
Cu  0.750  0.750  0.750